Bi5Sb2O12 PBE relaxed; raw formation energy = -1.25 eV/atom; calculated density = 8.17 g/cm³; space-group type = C2/m, No. 12; crystal system = monoclinic
1.0
-5.072 -2.525 -2.654
3.316 -4.154 4.991
-4.474 4.922 3.866
Bi Sb O
5 2 12
Direct
0.293 0.585 0.647
0.307 0.614 0.181
0.000 0.000 0.500
0.693 0.386 0.819
0.707 0.415 0.353
0.755 0.000 0.000
0.245 0.000 0.000
0.997 0.995 0.179
0.103 0.675 0.905
0.572 0.675 0.905
0.093 0.698 0.413
0.604 0.698 0.413
0.503 0.005 0.824
0.497 0.995 0.176
0.907 0.302 0.587
0.396 0.302 0.587
0.897 0.325 0.095
0.428 0.325 0.095
0.003 0.005 0.821

BiSb3O9 PBE relaxed; raw formation energy = -1.32 eV/atom; calculated density = 6.96 g/cm³; space-group type = P2_1/m, No. 11; crystal system = monoclinic
1.0
-2.398 -0.195 -4.957
6.790 -1.127 -3.240
-0.716 -8.056 1.301
Bi Sb O
2 6 18
Direct
0.046 0.250 0.431
0.954 0.750 0.569
0.000 0.000 0.000
0.000 0.500 0.000
0.470 0.495 0.699
0.470 0.005 0.699
0.530 0.995 0.301
0.530 0.505 0.301
0.110 0.250 0.992
0.150 0.944 0.782
0.150 0.556 0.782
0.270 0.965 0.472
0.270 0.535 0.472
0.348 0.250 0.662
0.317 0.935 0.115
0.317 0.565 0.115
0.417 0.250 0.307
0.583 0.750 0.693
0.683 0.065 0.885
0.683 0.435 0.885
0.652 0.750 0.338
0.730 0.035 0.528
0.730 0.465 0.528
0.850 0.056 0.218
0.850 0.444 0.218
0.890 0.750 0.008